Compound: PrDy2Zn2
Source: the Alexandria database
Functional: PBE
Structure: relaxed

Lattice parameters (Å, degrees): 8.164 8.164 6.287 90.00 90.00 142.42
Fractional positions:
Pr 0.085 0.915 0.500
Pr 0.915 0.085 0.000
Dy 0.298 0.702 0.264
Dy 0.459 0.541 0.642
Dy 0.541 0.459 0.142
Dy 0.702 0.298 0.764
Zn 0.129 0.871 0.995
Zn 0.282 0.718 0.771
Zn 0.718 0.282 0.271
Zn 0.871 0.129 0.495

Calculated values
Space group: Cmc2_1, No. 36
Size of the total moment: 0.00 μB/cell
DFT formation energy: -0.191 eV/atom
D(E_F): 9.40 states/eV per cell